1.
# SiOsCl3 | the Alexandria database | PBE-GGA | optimized geometry
# relative energy among the computed polymorphs	263	meV per atom
# DFT total energy	-3.4615	eV/atom
# calculated volume	24.7	Å³ per atom
data_SiOsCl3
_cell_length_a 4.982
_cell_length_b 4.982
_cell_length_c 4.982
_cell_angle_alpha 90.00
_cell_angle_beta 90.00
_cell_angle_gamma 90.00
_symmetry_space_group_name_H-M 'P 1'
_symmetry_Int_Tables_number 1
loop_
_symmetry_equiv_pos_as_xyz
'x,y,z'
loop_
_atom_site_label
_atom_site_fract_x
_atom_site_fract_y
_atom_site_fract_z
Si1 0.000 0.000 0.000
Os1 0.500 0.500 0.500
Cl1 0.000 0.000 0.500
Cl2 0.000 0.500 0.000
Cl3 0.500 0.000 0.000

2.
# SiOsCl4 | the Alexandria database | PBE-GGA | optimized geometry
# DFT total energy	-2.3898	eV/atom
# calculated volume	22.0	Å³ per atom
data_SiOsCl4
_cell_length_a 5.717
_cell_length_b 5.717
_cell_length_c 5.717
_cell_angle_alpha 60.00
_cell_angle_beta 60.00
_cell_angle_gamma 60.00
_symmetry_space_group_name_H-M 'P 1'
_symmetry_Int_Tables_number 1
loop_
_symmetry_equiv_pos_as_xyz
'x,y,z'
loop_
_atom_site_label
_atom_site_fract_x
_atom_site_fract_y
_atom_site_fract_z
Si1 0.000 0.000 0.000
Os1 0.250 0.250 0.250
Cl1 0.128 0.624 0.624
Cl2 0.624 0.128 0.624
Cl3 0.624 0.624 0.128
Cl4 0.624 0.624 0.624

3.
# TaSiOsCl2 | the Alexandria database | PBE-GGA | optimized geometry
# DFT total energy	-5.3163	eV/atom
# calculated volume	21.7	Å³ per atom
data_TaSiOsCl2
_cell_length_a 4.578
_cell_length_b 4.578
_cell_length_c 5.184
_cell_angle_alpha 90.00
_cell_angle_beta 90.00
_cell_angle_gamma 90.00
_symmetry_space_group_name_H-M 'P 1'
_symmetry_Int_Tables_number 1
loop_
_symmetry_equiv_pos_as_xyz
'x,y,z'
loop_
_atom_site_label
_atom_site_fract_x
_atom_site_fract_y
_atom_site_fract_z
Ta1 0.000 0.000 0.000
Si1 0.500 0.500 0.000
Os1 0.000 0.000 0.500
Cl1 0.000 0.500 0.500
Cl2 0.500 0.000 0.500

4.
# SiOsW2Cl | the Alexandria database | PBE-GGA | optimized geometry
# DFT total energy	-6.8527	eV/atom
# calculated volume	21.5	Å³ per atom
data_SiOsW2Cl
_cell_length_a 4.856
_cell_length_b 4.856
_cell_length_c 4.548
_cell_angle_alpha 90.00
_cell_angle_beta 90.00
_cell_angle_gamma 90.00
_symmetry_space_group_name_H-M 'P 1'
_symmetry_Int_Tables_number 1
loop_
_symmetry_equiv_pos_as_xyz
'x,y,z'
loop_
_atom_site_label
_atom_site_fract_x
_atom_site_fract_y
_atom_site_fract_z
Si1 0.000 0.000 0.000
Os1 0.500 0.500 0.500
W1 0.000 0.500 0.500
W2 0.500 0.000 0.500
Cl1 0.500 0.500 0.000

Summary of total magnetization in μB/f.u.
4.83; 5.30; 0.00; 1.53
(order as listed above)